Entry 1:
Compound: SrLi2InF8
Source: Alexandria via LeMat-Bulk
Functional: PBE
Structure: relaxed

Calculated volume = 13.87 Å³/atom
SG = P-1, No. 2
Theoretical density = 3.7 Mg/m³

Cell and atoms, written as POSCAR:
```
SrLi2InF8
1.0
4.735 0.000 0.000
-0.238 4.755 0.000
-0.127 -0.128 7.395
Sr Li In F
1 2 1 8
Direct
0.000 0.000 0.000
0.491 0.514 0.690
0.509 0.486 0.310
0.000 0.000 0.500
0.173 0.230 0.280
0.191 0.223 0.728
0.325 0.721 0.494
0.420 0.680 0.961
0.580 0.320 0.039
0.675 0.279 0.506
0.809 0.777 0.272
0.827 0.770 0.720
```

Entry 2:
Compound: LiTl2In2F6
Source: Alexandria via LeMat-Bulk
Functional: PBE
Structure: relaxed

Calculated volume = 18.43 Å³/atom
SG = C2/m, No. 12
Theoretical density = 6.2 Mg/m³

Cell and atoms, written as POSCAR:
```
LiTl2In2F6
1.0
4.918 -3.002 0.000
4.918 3.002 0.000
-2.819 0.000 6.867
Li Tl In F
1 2 2 6
Direct
0.000 0.000 0.000
0.215 0.215 0.677
0.785 0.785 0.323
0.413 0.413 0.284
0.587 0.587 0.716
0.211 0.702 0.785
0.224 0.224 0.021
0.298 0.789 0.215
0.702 0.211 0.785
0.776 0.776 0.979
0.789 0.298 0.215
```

How do the records compare in E_tot? In the order shown, they have -0.3447; -0.3032 Ry/atom.
How do the records compare in energy relative to the elements, uncorrected? In the order shown, they have -33.053; -22.020 eV/f.u..